(one)
PBE-GGA LaWBr2, relaxed; total moment = 0.0 μB/f.u.; SG = Immm, No. 71
1.0
7.3636 0.0722 -0.0115
4.7968 5.5874 0.0115
-5.6609 -3.7307 2.8748
La Br W
1 2 1
Direct
0.7500 0.2500 0.5000 La
0.3994 0.3994 0.0000 Br
0.1006 0.1006 0.0000 Br
0.2500 0.7500 0.5000 W

(two)
PBE-GGA LaWBr2, relaxed; total moment = 3.2 μB/f.u.; SG = I-4m2, No. 119
1.0
6.1860 0.0311 0.0000
3.1671 5.3139 0.0000
-4.6766 -2.6725 3.0423
Br La W
2 1 1
Direct
0.0000 0.0000 0.0000 Br
0.2500 0.7500 0.5000 Br
0.5000 0.5000 0.0000 La
0.7500 0.2500 0.5000 W

(three)
PBE-GGA LaWBr2, relaxed; total moment = 0.0 μB/f.u.; SG = R-3m, No. 166
1.0
-9.1091 -3.9833 0.3893
-7.3469 -6.6908 -0.5011
-7.5836 -5.8337 2.7297
Br W La
2 1 1
Direct
0.0860 0.0860 0.0860 Br
0.9140 0.9140 0.9140 Br
0.0000 0.0000 0.0000 W
0.5000 0.5000 0.5000 La

Energetically preferred structure: (one) | next structure: +0.280 eV/atom